Entry from Alexandria: Li4InPt after structural relaxation (GGA-PBE).

Structure (POSCAR):
```
Li4InPt
1.0
-4.637 1.699 -0.810
-2.464 -4.458 4.755
5.351 5.121 2.468
Li In Pt
8 2 2
direct
0.337 0.684 0.760
0.663 0.924 0.240
0.000 0.195 0.000
0.035 0.661 0.323
0.000 0.805 0.000
0.337 0.076 0.760
0.965 0.339 0.677
0.663 0.316 0.240
0.694 0.783 0.565
0.306 0.217 0.435
0.335 0.552 0.104
0.665 0.448 0.896
```

DOS at the Fermi energy, states/eV/cell: 4.62
Energy above the most stable polymorph in this dataset, meV per atom: 102
DFT formation energy, meV per atom: -322
Space group: C2/m
Spin magnetization, μB/f.u.: 0.000
E_tot, hartree per atom: -0.112